## TaP2 (GGA-PBE)

Data for a relaxed TaP2 crystal.

a = 6.096 Å, b = 6.096 Å, c = 6.096 Å
α = 90.00°, β = 90.00°, γ = 90.00°
Sites, in units of the cell vectors:
P 0.606 0.606 0.394
P 0.394 0.394 0.606
P 0.106 0.894 0.606
P 0.894 0.106 0.394
P 0.394 0.106 0.106
P 0.606 0.894 0.894
P 0.894 0.394 0.894
P 0.106 0.606 0.106
Ta 0.000 0.000 0.000
Ta 0.500 0.500 0.000
Ta 0.500 0.000 0.500
Ta 0.000 0.500 0.500

Results
Formation energy from the elements   0.76 kcal/mol of atoms
E   -90.3 eV for the cell shown